# Li2AlVO4, relaxed, DFT PBE+U
# - V: 11.4 A^3/atom
# - Density of states at the Fermi level: 0.000 states/eV per cell
# - Relative energy among the computed polymorphs: 66 meV per atom
# - VASP energy: -6.690 eV per atom
data_Li2AlVO4
_chemical_formula_sum 'Li8 Al4 V4 O16'
_symmetry_space_group_name_H-M 'P 1'
_symmetry_Int_Tables_number 1
_symmetry_space_group_name_Hall 'P 1'
_cell_length_a 5.098
_cell_length_b 11.050
_cell_length_c 8.207
_cell_angle_alpha 90.00
_cell_angle_beta 127.89
_cell_angle_gamma 90.00
loop_
_atom_site_label
_atom_site_type_symbol
_atom_site_fract_x
_atom_site_fract_y
_atom_site_fract_z
Li1 Li 0.038 0.075 0.237
Li2 Li 0.038 0.425 0.737
Li3 Li 0.182 0.165 0.993
Li4 Li 0.182 0.335 0.493
Li5 Li 0.818 0.665 0.507
Li6 Li 0.818 0.835 0.007
Li7 Li 0.962 0.575 0.263
Li8 Li 0.962 0.925 0.763
Al1 Al 0.429 0.085 0.745
Al2 Al 0.429 0.415 0.245
Al3 Al 0.571 0.585 0.755
Al4 Al 0.571 0.915 0.255
V1 V 0.318 0.668 0.005
V2 V 0.318 0.832 0.505
V3 V 0.682 0.168 0.495
V4 V 0.682 0.332 0.995
O1 O 0.071 0.091 0.737
O2 O 0.071 0.409 0.237
O3 O 0.241 0.664 0.531
O4 O 0.241 0.836 0.031
O5 O 0.322 0.161 0.520
O6 O 0.322 0.339 0.020
O7 O 0.460 0.068 0.250
O8 O 0.460 0.432 0.750
O9 O 0.540 0.568 0.250
O10 O 0.540 0.932 0.750
O11 O 0.678 0.661 0.980
O12 O 0.678 0.839 0.480
O13 O 0.759 0.164 0.969
O14 O 0.759 0.336 0.469
O15 O 0.929 0.591 0.763
O16 O 0.929 0.909 0.263